1.
TbTmIr2C3 | GGA-PBE | relaxed

Computed properties:
final energy: -7.918 eV per atom
calculated volume: 14.204 A^3/atom

POSCAR file:
```
TbTmIr2C3
1.0
5.699 -1.720 0.000
5.699 1.720 0.000
-1.354 0.000 5.071
Tb Tm Ir C
1 1 2 3
direct
0.000 0.000 0.000
0.751 0.751 0.363
0.244 0.244 0.852
0.509 0.509 0.511
0.106 0.106 0.477
0.374 0.374 0.671
0.649 0.649 0.889
```

***

2.
BaLuTe3Au | GGA-PBE | relaxed

Computed properties:
final energy: -4.377 eV per atom
calculated volume: 32.188 A^3/atom

POSCAR file:
```
BaLuTe3Au
1.0
8.596 0.000 0.000
0.000 4.393 0.000
-3.208 0.000 10.229
Ba Lu Te Au
2 2 6 2
direct
0.239 0.250 0.293
0.761 0.750 0.707
0.310 0.750 0.839
0.690 0.250 0.161
0.075 0.250 0.860
0.274 0.750 0.552
0.436 0.750 0.137
0.564 0.250 0.863
0.726 0.250 0.448
0.925 0.750 0.140
0.085 0.250 0.603
0.915 0.750 0.397
```

***

3.
LiNbCuTeS2 | GGA-PBE | relaxed

Computed properties:
final energy: -5.203 eV per atom
calculated volume: 19.070 A^3/atom

POSCAR file:
```
LiNbCuTeS2
1.0
1.737 -6.699 0.000
1.737 6.699 0.000
0.000 0.000 9.831
Li Nb Cu Te S
2 2 2 2 4
direct
0.191 0.809 0.750
0.809 0.191 0.250
0.000 0.000 0.000
0.000 0.000 0.500
0.472 0.528 0.250
0.528 0.472 0.750
0.118 0.882 0.250
0.882 0.118 0.750
0.373 0.627 0.067
0.373 0.627 0.433
0.627 0.373 0.567
0.627 0.373 0.933
```

***

4.
Nb2Sb | GGA-PBE | relaxed

Computed properties:
final energy: -7.893 eV per atom
calculated volume: 20.343 A^3/atom

POSCAR file:
```
Nb2Sb
1.0
0.000 3.937 3.937
3.937 0.000 3.937
3.937 3.937 0.000
Nb Sb
4 2
direct
0.000 0.000 0.000
0.000 0.000 0.500
0.000 0.500 0.000
0.500 0.000 0.000
0.375 0.375 0.375
0.625 0.625 0.625
```

***

5.
TaBeOs | GGA-PBE | relaxed

Computed properties:
calculated volume: 17.191 A^3/atom
ΔE to the lowest computed polymorph: 1167 meV per atom

POSCAR file:
```
TaBeOs
1.0
0.000 2.954 2.954
2.954 0.000 2.954
2.954 2.954 0.000
Ta Be Os
1 1 1
direct
0.000 0.000 0.000
0.750 0.750 0.750
0.250 0.250 0.250
```

***

6.
Na6ZnO4 | GGA-PBE | relaxed

Computed properties:
final energy: -3.901 eV per atom
calculated volume: 13.489 A^3/atom

POSCAR file:
```
Na6ZnO4
1.0
7.397 0.000 0.000
0.000 7.397 0.000
0.000 0.000 5.423
Na Zn O
12 2 8
direct
0.037 0.537 0.250
0.037 0.963 0.250
0.250 0.250 0.163
0.250 0.250 0.663
0.463 0.537 0.250
0.463 0.963 0.250
0.537 0.037 0.750
0.537 0.463 0.750
0.750 0.750 0.337
0.750 0.750 0.837
0.963 0.037 0.750
0.963 0.463 0.750
0.250 0.750 0.750
0.750 0.250 0.250
0.004 0.750 0.567
0.250 0.504 0.933
0.250 0.996 0.933
0.496 0.750 0.567
0.504 0.250 0.433
0.750 0.004 0.067
0.750 0.496 0.067
0.996 0.250 0.433
```

***

7.
NdInAg3Te4 | GGA-PBE | relaxed

Computed properties:
final energy: -3.551 eV per atom
calculated volume: 34.916 A^3/atom

POSCAR file:
```
NdInAg3Te4
1.0
6.799 0.000 0.000
0.000 6.799 0.000
0.000 0.000 6.799
Nd In Ag Te
1 1 3 4
direct
0.000 0.000 0.000
0.500 0.500 0.500
0.000 0.000 0.500
0.000 0.500 0.000
0.500 0.000 0.000
0.251 0.251 0.749
0.251 0.749 0.251
0.749 0.251 0.251
0.749 0.749 0.749
```

***

8.
NaCdNiAs | GGA-PBE | relaxed

Computed properties:
calculated volume: 17.034 A^3/atom
ΔE to the lowest computed polymorph: 0 meV per atom

POSCAR file:
```
NaCdNiAs
1.0
0.000 3.242 3.242
3.242 0.000 3.242
3.242 3.242 0.000
Na Cd Ni As
1 1 1 1
direct
0.000 0.000 0.000
0.750 0.750 0.750
0.500 0.500 0.500
0.250 0.250 0.250
```

***

9.
Gd2YCd3In2Au | GGA-PBE | relaxed

Computed properties:
final energy: -3.529 eV per atom
calculated volume: 24.671 A^3/atom

POSCAR file:
```
Gd2YCd3In2Au
1.0
4.490 0.000 0.000
0.000 6.534 3.784
0.000 -6.534 3.784
Gd Y Cd In Au
2 1 3 2 1
direct
0.000 0.203 0.797
0.000 0.797 0.203
0.000 0.392 0.392
0.500 0.041 0.041
0.500 0.553 0.797
0.500 0.797 0.553
0.500 0.131 0.464
0.500 0.464 0.131
0.000 0.796 0.796
```

***

10.
TaBeCuPd | GGA-PBE | relaxed

Computed properties:
calculated volume: 13.811 A^3/atom
ΔE to the lowest computed polymorph: 0 meV per atom

POSCAR file:
```
TaBeCuPd
1.0
0.000 3.023 3.023
3.023 0.000 3.023
3.023 3.023 0.000
Ta Be Cu Pd
1 1 1 1
direct
0.000 0.000 0.000
0.500 0.500 0.500
0.250 0.250 0.250
0.750 0.750 0.750
```

***

11.
Re2Bi2O5 | GGA-PBE | relaxed

Computed properties:
calculated volume: 12.527 A^3/atom
ΔE to the lowest computed polymorph: 0 meV per atom

POSCAR file:
```
Re2Bi2O5
1.0
4.025 0.000 0.000
0.000 4.025 0.000
0.000 0.000 6.960
Re Bi O
2 2 5
direct
0.000 0.000 0.173
0.000 0.000 0.827
0.500 0.500 0.000
0.500 0.500 0.500
0.000 0.000 0.500
0.000 0.500 0.244
0.000 0.500 0.756
0.500 0.000 0.244
0.500 0.000 0.756
```

***

12.
Tm2O3 | GGA-PBE | relaxed

Computed properties:
final energy: -8.226 eV per atom
calculated volume: 17.371 A^3/atom

POSCAR file:
```
Tm2O3
1.0
5.806 0.000 0.000
-2.903 5.028 0.000
0.000 0.000 2.975
Tm O
2 3
direct
0.333 0.667 0.000
0.667 0.333 0.000
0.000 0.493 0.500
0.493 0.000 0.500
0.507 0.507 0.500
```

***

13.
ErTmMg2 | GGA-PBE | relaxed

Computed properties:
calculated volume: 26.524 A^3/atom
ΔE to the lowest computed polymorph: 0 meV per atom

POSCAR file:
```
ErTmMg2
1.0
3.741 -5.326 0.000
3.741 5.326 0.000
0.000 0.000 5.324
Er Tm Mg
2 2 4
direct
0.127 0.873 0.750
0.873 0.127 0.250
0.376 0.624 0.250
0.624 0.376 0.750
0.124 0.373 0.750
0.373 0.124 0.250
0.627 0.876 0.750
0.876 0.627 0.250
```

***

14.
Pr2AlSnPd4 | GGA-PBE | relaxed

Computed properties:
final energy: -5.585 eV per atom
calculated volume: 21.013 A^3/atom

POSCAR file:
```
Pr2AlSnPd4
1.0
4.524 0.000 0.000
-2.262 3.918 0.000
0.000 0.000 9.483
Pr Al Sn Pd
2 1 1 4
direct
0.333 0.667 0.253
0.667 0.333 0.747
0.000 0.000 0.500
0.000 0.000 0.000
0.333 0.667 0.571
0.333 0.667 0.916
0.667 0.333 0.084
0.667 0.333 0.429
```

***

15.
ThMgC | GGA-PBE | relaxed

Computed properties:
final energy: -6.275 eV per atom
calculated volume: 20.157 A^3/atom

POSCAR file:
```
ThMgC
1.0
3.794 0.000 0.000
0.000 3.794 0.000
0.000 0.000 8.402
Th Mg C
2 2 2
direct
0.250 0.250 0.150
0.750 0.750 0.850
0.250 0.250 0.591
0.750 0.750 0.409
0.250 0.250 0.863
0.750 0.750 0.137
```

***

16.
Ho2Tm2O5 | GGA-PBE | relaxed

Computed properties:
calculated volume: 15.382 A^3/atom
ΔE to the lowest computed polymorph: 45 meV per atom

POSCAR file:
```
Ho2Tm2O5
1.0
3.872 0.000 0.000
0.000 3.872 0.000
0.000 0.000 9.232
Ho Tm O
2 2 5
direct
0.000 0.000 0.242
0.000 0.000 0.758
0.500 0.500 0.000
0.500 0.500 0.500
0.000 0.000 0.500
0.000 0.500 0.143
0.000 0.500 0.857
0.500 0.000 0.143
0.500 0.000 0.857
```

***

17.
PmIrPd | GGA-PBE | relaxed

Computed properties:
E_form: 12.41 kJ/mol of atoms
calculated volume: 23.011 A^3/atom
ΔE to the lowest computed polymorph: 310 meV per atom

POSCAR file:
```
PmIrPd
1.0
0.000 3.256 3.256
3.256 0.000 3.256
3.256 3.256 0.000
Pm Ir Pd
1 1 1
direct
0.000 0.000 0.000
0.750 0.750 0.750
0.250 0.250 0.250
```

***

18.
GaAg | GGA-PBE | relaxed

Computed properties:
final energy: -2.946 eV per atom
calculated volume: 17.702 A^3/atom

POSCAR file:
```
GaAg
1.0
3.022 0.000 0.000
-1.511 2.618 0.000
0.000 0.000 4.475
Ga Ag
1 1
direct
0.000 0.000 0.000
0.333 0.667 0.500
```

***

19.
YHo2Mg3Cd2Ag | GGA-PBE | relaxed

Computed properties:
final energy: -3.030 eV per atom
calculated volume: 24.435 A^3/atom

POSCAR file:
```
YHo2Mg3Cd2Ag
1.0
4.199 0.000 0.000
0.000 6.742 3.884
0.000 -6.742 3.884
Y Ho Mg Cd Ag
1 2 3 2 1
direct
0.000 0.000 0.000
0.000 0.407 0.813
0.000 0.813 0.407
0.500 0.163 0.407
0.500 0.407 0.163
0.500 0.651 0.651
0.500 0.074 0.739
0.500 0.739 0.074
0.000 0.408 0.408
```

***

20.
CoReSnMo | GGA-PBE | relaxed

Computed properties:
calculated volume: 15.494 A^3/atom
ΔE to the lowest computed polymorph: 0 meV per atom

POSCAR file:
```
CoReSnMo
1.0
0.000 3.141 3.141
3.141 0.000 3.141
3.141 3.141 0.000
Co Re Sn Mo
1 1 1 1
direct
0.000 0.000 0.000
0.500 0.500 0.500
0.750 0.750 0.750
0.250 0.250 0.250
```